Record 1
Below is an optimized crystal structure of NdGaAg, with properties calculated at the GGA-PBE level.

```
NdGaAg
1.0
-1.7191 1.7191 5.6883
1.7191 -1.7191 5.6883
1.7191 1.7191 -5.6883
Nd Ga Ag
1 1 1
Direct
0.0000 0.0000 0.0000
0.6823 0.6823 0.0000
0.3060 0.3060 0.0000
```

Computed properties:
E_tot ... -0.140 Ha/atom
Spin magnetization ... 0.00 μB/f.u.



Record 2
Below is an optimized crystal structure of Sm12Hg6C, with properties calculated at the GGA-PBE level.

```
Sm12Hg6C
1.0
6.1293 3.5388 4.3548
-6.1293 3.5388 4.3548
0.0000 -7.0776 4.3548
Sm Hg C
12 6 1
Direct
0.0339 0.9223 0.7086
0.0777 0.2914 0.9661
0.1990 0.4191 0.5371
0.2914 0.9661 0.0777
0.4191 0.5371 0.1990
0.4629 0.8010 0.5809
0.5371 0.1990 0.4191
0.5809 0.4629 0.8010
0.7086 0.0339 0.9223
0.8010 0.5809 0.4629
0.9223 0.7086 0.0339
0.9661 0.0777 0.2914
0.1475 0.7452 0.3548
0.2548 0.6452 0.8525
0.3548 0.1475 0.7452
0.6452 0.8525 0.2548
0.7452 0.3548 0.1475
0.8525 0.2548 0.6452
0.0000 0.0000 0.0000
```

Computed properties:
E_tot ... -0.141 Ha/atom
Spin magnetization ... 0.00 μB/f.u.



Record 3
Below is an optimized crystal structure of K2RbMgIn, with properties calculated at the GGA-PBE level.

```
K2RbMgIn
1.0
6.9838 0.0000 0.0000
0.0000 6.9838 0.0000
0.0000 0.0000 5.5694
K Rb Mg In
2 1 1 1
Direct
0.0000 0.5000 0.0000
0.5000 0.0000 0.0000
0.0000 0.0000 0.5000
0.5000 0.5000 0.5000
0.5000 0.5000 0.0000
```

Computed properties:
E_tot ... -0.052 Ha/atom
Spin magnetization ... 0.00 μB/f.u.



Record 4
Below is an optimized crystal structure of Tb3Tm5Th2, with properties calculated at the GGA-PBE level.

```
Tb3Tm5Th2
1.0
5.2894 -8.1154 0.0000
5.2894 8.1154 0.0000
-5.2863 0.0000 7.4615
Tb Tm Th
6 10 4
Direct
0.0264 0.9736 0.7500
0.2270 0.4810 0.4535
0.4810 0.2270 0.9535
0.5190 0.7730 0.0465
0.7730 0.5190 0.5465
0.9736 0.0264 0.2500
0.1171 0.3806 0.7437
0.2222 0.7778 0.7500
0.2792 0.7208 0.2500
0.3806 0.1171 0.2437
0.4756 0.5244 0.2500
0.5244 0.4756 0.7500
0.6194 0.8829 0.7563
0.7208 0.2792 0.7500
0.7778 0.2222 0.2500
0.8829 0.6194 0.2563
0.0183 0.2708 0.0351
0.2708 0.0183 0.5351
0.7292 0.9817 0.4649
0.9817 0.7292 0.9649
```

Computed properties:
E_tot ... -0.180 Ha/atom
Spin magnetization ... 0.00 μB/f.u.



Record 5
Below is an optimized crystal structure of Tm4Zn3Pt, with properties calculated at the GGA-PBE level.

```
Tm4Zn3Pt
1.0
3.5174 0.0000 0.0000
0.0000 3.5174 0.0000
0.0000 0.0000 13.8384
Tm Zn Pt
4 3 1
Direct
0.0000 0.0000 0.1187
0.0000 0.0000 0.3729
0.0000 0.0000 0.6271
0.0000 0.0000 0.8813
0.5000 0.5000 0.2495
0.5000 0.5000 0.5000
0.5000 0.5000 0.7505
0.5000 0.5000 0.0000
```

Computed properties:
E_tot ... -0.150 Ha/atom
Spin magnetization ... 0.00 μB/f.u.



Record 6
Below is an optimized crystal structure of K2PaBr5, with properties calculated at the GGA-PBE level.

```
K2PaBr5
1.0
10.0949 0.0000 0.0000
0.0000 13.4198 0.0000
0.0000 0.0000 4.2079
K Pa Br
4 2 10
Direct
0.0715 0.1667 0.0000
0.4285 0.6667 0.0000
0.5715 0.3333 0.0000
0.9285 0.8333 0.0000
0.0000 0.5000 0.5000
0.5000 0.0000 0.5000
0.0000 0.0000 0.5000
0.1392 0.6869 0.5000
0.1727 0.4192 0.0000
0.3273 0.9192 0.0000
0.3608 0.1869 0.5000
0.5000 0.5000 0.5000
0.6392 0.8131 0.5000
0.6727 0.0808 0.0000
0.8273 0.5808 0.0000
0.8608 0.3131 0.5000
```

Computed properties:
E_tot ... -0.147 Ha/atom
Spin magnetization ... 2.00 μB/f.u.
Energy relative to the elements, uncorrected ... -1.503 eV per atom



Record 7
Below is an optimized crystal structure of Ca2La5Nd2, with properties calculated at the GGA-PBE level.

```
Ca2La5Nd2
1.0
11.5638 -1.8085 0.0000
11.5638 1.8085 0.0000
-1.0601 0.0000 8.3567
Ca La Nd
2 5 2
Direct
0.1829 0.1829 0.1220
0.8171 0.8171 0.8780
0.0000 0.0000 0.0000
0.0884 0.0884 0.7265
0.3092 0.3092 0.4562
0.6908 0.6908 0.5438
0.9116 0.9116 0.2735
0.4464 0.4464 0.6513
0.5536 0.5536 0.3487
```

Computed properties:
E_tot ... -0.149 Ha/atom
Spin magnetization ... 0.00 μB/f.u.



Record 8
Below is an optimized crystal structure of BeAlSe2, with properties calculated at the GGA-PBE level.

```
BeAlSe2
1.0
1.8526 -3.6456 0.0000
1.8526 3.6456 0.0000
0.0000 0.0000 7.1016
Be Al Se
1 1 2
Direct
0.0000 0.0000 0.0000
0.5000 0.5000 0.2450
0.0000 0.0000 0.4579
0.5000 0.5000 0.8621
```

Computed properties:
E_tot ... -0.133 Ha/atom
Spin magnetization ... 0.00 μB/f.u.
Energy relative to the elements, uncorrected ... 0.004 eV per atom